1.
# VCu3B PBE relaxed
# Calculated volume, Å³ per cell: 95.5
# Crystal system: cubic
# Energy relative to the lowest polymorph listed for this composition, meV per atom: 1763
# Magnetic moment, μB/f.u.: 2.67
data_VCu3B
_symmetry_space_group_name_H-M 'P m -3 m'
_symmetry_Int_Tables_number 221
_symmetry_space_group_name_Hall '-P 4 2 3'
_cell_length_a 4.571
_cell_length_b 4.571
_cell_length_c 4.571
_cell_angle_alpha 90.00
_cell_angle_beta 90.00
_cell_angle_gamma 90.00
loop_
_atom_site_label
_atom_site_fract_x
_atom_site_fract_y
_atom_site_fract_z
V1 0.000 0.000 0.000
Cu1 0.000 0.000 0.500
B1 0.500 0.500 0.500

***

2.
# CrFe2Co5 PBE relaxed
# Calculated volume, Å³ per cell: 184.4
# Crystal system: tetragonal
# Magnetic moment, μB/f.u.: 16.32
data_CrFe2Co5
_symmetry_space_group_name_H-M 'I 4/m m m'
_symmetry_Int_Tables_number 139
_symmetry_space_group_name_Hall '-I 4 2'
_cell_length_a 4.027
_cell_length_b 4.027
_cell_length_c 11.372
_cell_angle_alpha 90.00
_cell_angle_beta 90.00
_cell_angle_gamma 90.00
loop_
_atom_site_label
_atom_site_fract_x
_atom_site_fract_y
_atom_site_fract_z
Cr1 0.000 0.000 0.000
Fe1 0.000 0.000 0.250
Co1 0.000 0.000 0.500
Co2 0.000 0.500 0.126

***

3.
# FePt2Rh4 PBE relaxed
# Calculated volume, Å³ per cell: 418.2
# Crystal system: orthorhombic
# Energy relative to the lowest polymorph listed for this composition, meV per atom: 0
# Magnetic moment, μB/f.u.: 2.98
data_FePt2Rh4
_symmetry_space_group_name_H-M 'C m c m'
_symmetry_Int_Tables_number 63
_symmetry_space_group_name_Hall '-C 2c 2'
_cell_length_a 2.717
_cell_length_b 12.624
_cell_length_c 12.192
_cell_angle_alpha 90.00
_cell_angle_beta 90.00
_cell_angle_gamma 90.00
loop_
_atom_site_label
_atom_site_fract_x
_atom_site_fract_y
_atom_site_fract_z
Fe1 0.000 0.201 0.250
Pt1 0.000 0.368 0.137
Rh1 0.000 0.000 0.000
Rh2 0.000 0.320 0.575
Rh3 0.000 0.457 0.750

***

4.
# DyPdAu3 PBE relaxed
# Calculated volume, Å³ per cell: 201.3
# Crystal system: orthorhombic
# Energy relative to the lowest polymorph listed for this composition, meV per atom: 53
# Magnetic moment, μB/f.u.: 0.00
data_DyPdAu3
_symmetry_space_group_name_H-M 'P m m n'
_symmetry_Int_Tables_number 59
_cell_length_a 4.599
_cell_length_b 6.741
_cell_length_c 6.492
_cell_angle_alpha 90.00
_cell_angle_beta 90.00
_cell_angle_gamma 90.00
loop_
_symmetry_equiv_pos_as_xyz
'x,y,z'
'-x,-y,-z'
'-x+1/2,-y+1/2,z'
'x+1/2,y+1/2,-z'
'x+1/2,-y,-z'
'-x+1/2,y,z'
'-x,y+1/2,-z'
'x,-y+1/2,z'
loop_
_atom_site_label
_atom_site_fract_x
_atom_site_fract_y
_atom_site_fract_z
Dy1 0.250 0.250 0.228
Pd1 0.250 0.750 0.051
Au1 0.250 0.049 0.760
Au2 0.250 0.750 0.462

***

no.,E_form (meV per atom),E (eV/atom)
1,2132,-3.48
2,96,-7.66
3,143,-6.99
4,-553,-4.48